Entry 1:
VASP calculation (SCAN) on a PBEsol-optimized structure of ScTaRu3.

Computed properties:
E_tot: -1.311 hartree per atom
total magnetization: 0.000 μB/cell
ΔH_f (0 K): 1.3837 eV/atom

extended XYZ file:
```
5
Lattice="-0.190 -2.559 3.613 -0.095 -3.614 -2.564 4.427 -0.188 0.099" Properties=species:S:1:pos:R:3 pbc="T T T"
Sc 0.000 0.000 0.000
Ru -0.048 -1.807 -1.282
Ru 2.213 -0.094 0.050
Ru -0.095 -1.279 1.807
Ta 2.071 -3.180 0.575
```

Entry 2:
VASP calculation (SCAN) on a PBEsol-optimized structure of ScTaRu2.

Computed properties:
E_tot: -1.410 hartree per atom
ΔE to the lowest computed polymorph: 0.0 kJ/mol of atoms
total magnetization: 0.000 μB/cell
ΔH_f (0 K): -0.7460 eV/atom

extended XYZ file:
```
4
Lattice="4.443 0.000 0.000 2.221 3.847 0.000 2.221 1.282 3.627" Properties=species:S:1:pos:R:3 pbc="T T T"
Sc 0.000 0.000 0.000
Ru 2.221 1.282 0.907
Ru 6.664 3.847 2.721
Ta 4.443 2.565 1.814
```

Entry 3:
VASP calculation (SCAN) on a PBEsol-optimized structure of Sc2TcRu.

Computed properties:
E_tot: -0.918 hartree per atom
total magnetization: 0.000 μB/cell
ΔH_f (0 K): -0.4000 eV/atom

extended XYZ file:
```
4
Lattice="3.131 0.000 0.000 0.000 4.401 0.000 -1.565 -2.201 4.749" Properties=species:S:1:pos:R:3 pbc="T T T"
Sc 1.565 2.201 4.636
Sc 1.565 0.000 2.479
Ru 0.000 2.201 2.250
Tc 1.565 2.201 0.133
```

Entry 4:
VASP calculation (SCAN) on a PBEsol-optimized structure of Sc2TcRu.

Computed properties:
E_tot: -0.893 hartree per atom
total magnetization: 0.002 μB/cell
ΔH_f (0 K): 0.2818 eV/atom

extended XYZ file:
```
4
Lattice="-2.407 -1.732 -0.171 -0.238 -2.390 1.748 -4.907 3.605 6.786" Properties=species:S:1:pos:R:3 pbc="T T T"
Sc -3.717 -2.795 3.245
Sc -3.834 2.278 5.118
Ru 0.000 0.000 0.000
Tc -3.776 -0.258 4.182
```

Entry 5:
VASP calculation (SCAN) on a PBEsol-optimized structure of Sc2TcRu.

Computed properties:
E_tot: -0.907 hartree per atom
total magnetization: 0.000 μB/cell
ΔH_f (0 K): -0.1015 eV/atom

extended XYZ file:
```
4
Lattice="3.008 0.000 0.000 -1.504 4.101 0.114 0.000 -0.994 5.303" Properties=species:S:1:pos:R:3 pbc="T T T"
Ru 1.504 0.000 0.000
Sc 1.504 1.316 4.043
Sc 0.000 1.791 1.375
Tc 0.000 -0.497 2.652
```

Entry 6:
VASP calculation (SCAN) on a PBEsol-optimized structure of ScTcRu2.

Computed properties:
E_tot: -1.095 hartree per atom
ΔE to the lowest computed polymorph: 0.0 kJ/mol of atoms
total magnetization: 0.001 μB/cell
ΔH_f (0 K): -0.0491 eV/atom

extended XYZ file:
```
4
Lattice="3.016 0.000 0.000 0.000 4.320 0.000 0.000 0.000 4.489" Properties=species:S:1:pos:R:3 pbc="T T T"
Ru 0.000 0.000 0.000
Ru 1.508 0.000 2.244
Sc 1.508 2.160 0.000
Tc 0.000 2.160 2.244
```

Entry 7:
VASP calculation (SCAN) on a PBEsol-optimized structure of ScTcRu2.

Computed properties:
E_tot: -1.093 hartree per atom
ΔE to the lowest computed polymorph: 4.7 kJ/mol of atoms
total magnetization: 0.000 μB/cell
ΔH_f (0 K): -0.0007 eV/atom

extended XYZ file:
```
4
Lattice="3.772 0.000 0.000 0.000 3.772 0.000 -1.886 -1.886 4.148" Properties=species:S:1:pos:R:3 pbc="T T T"
Ru 0.000 0.000 0.000
Ru 1.886 0.000 2.074
Sc 1.886 1.886 0.000
Tc 0.000 1.886 2.074
```

Entry 8:
VASP calculation (SCAN) on a PBEsol-optimized structure of ScTe2Ru.

Computed properties:
E_tot: -1.130 hartree per atom
ΔE to the lowest computed polymorph: 36.3 kJ/mol of atoms
total magnetization: 0.000 μB/cell
E_form (uncorrected): 0.139 eV/atom

extended XYZ file:
```
4
Lattice="-0.954 -3.099 0.441 1.413 -1.834 2.313 -6.253 1.206 7.092" Properties=species:S:1:pos:R:3 pbc="T T T"
Sc -2.897 -1.863 4.923
Ru 0.000 0.000 0.000
Te -1.251 -4.171 4.403
Te -4.542 0.445 5.443
```

Entry 9:
VASP calculation (SCAN) on a PBEsol-optimized structure of Sc3TeRu.

Computed properties:
E_tot: -0.820 hartree per atom
total magnetization: 1.777 μB/cell
E_form (uncorrected): 0.652 eV/atom

extended XYZ file:
```
5
Lattice="-3.694 -3.495 -0.520 2.380 -3.017 3.371 -2.612 2.194 3.807" Properties=species:S:1:pos:R:3 pbc="T T T"
Sc 1.190 -1.508 1.686
Sc -1.306 1.097 1.904
Sc -1.847 -1.748 -0.260
Ru -1.963 -2.159 3.329
Te 0.000 0.000 0.000
```

Entry 10:
VASP calculation (SCAN) on a PBEsol-optimized structure of ScTe2Ru.

Computed properties:
E_tot: -1.144 hartree per atom
ΔE to the lowest computed polymorph: 0.0 kJ/mol of atoms
total magnetization: 0.000 μB/cell
E_form (uncorrected): -0.237 eV/atom

extended XYZ file:
```
4
Lattice="-1.290 -3.834 2.603 2.454 -4.118 -0.406 2.793 -1.500 3.618" Properties=species:S:1:pos:R:3 pbc="T T T"
Ru 2.624 -2.809 1.606
Sc -0.645 -1.917 1.301
Te 3.612 -5.172 3.060
Te 0.345 -4.280 2.755
```

Entry 11:
VASP calculation (SCAN) on a PBEsol-optimized structure of ZrScTiRu2.

Computed properties:
E_tot: -0.928 hartree per atom
total magnetization: 0.000 μB/cell
ΔH_f (0 K): 0.8738 eV/atom

extended XYZ file:
```
5
Lattice="-2.903 -0.967 3.418 2.720 -3.628 1.284 2.432 2.839 2.869" Properties=species:S:1:pos:R:3 pbc="T T T"
Sc 1.125 -0.878 3.785
Ru 1.216 1.420 1.435
Ru 1.360 -1.814 0.642
Zr 0.000 0.000 0.000
Ti -1.451 -0.484 1.709
```

Entry 12:
VASP calculation (SCAN) on a PBEsol-optimized structure of Sc2TlRu.

Computed properties:
E_tot: -1.258 hartree per atom
total magnetization: 0.000 μB/cell
ΔH_f (0 K): -0.3243 eV/atom

extended XYZ file:
```
4
Lattice="-1.389 2.489 3.100 -3.650 0.503 -2.039 0.964 -4.813 1.436" Properties=species:S:1:pos:R:3 pbc="T T T"
Ru -2.603 -1.407 -0.036
Sc 0.000 0.000 0.000
Sc -1.472 -0.414 2.533
Tl -2.519 1.496 0.530
```

Entry 13:
VASP calculation (SCAN) on a PBEsol-optimized structure of Sc2TlRu.

Computed properties:
E_tot: -1.270 hartree per atom
total magnetization: 0.000 μB/cell
ΔH_f (0 K): -0.6521 eV/atom

extended XYZ file:
```
4
Lattice="3.245 0.000 0.000 0.000 3.245 0.000 0.000 0.000 7.260" Properties=species:S:1:pos:R:3 pbc="T T T"
Sc 0.000 0.000 5.139
Sc 0.000 0.000 2.122
Ru 1.622 1.622 3.630
Tl 1.622 1.622 0.000
```

Entry 14:
VASP calculation (SCAN) on a PBEsol-optimized structure of Sc2TlRu.

Computed properties:
E_tot: -1.259 hartree per atom
total magnetization: 0.000 μB/cell
ΔH_f (0 K): -0.3540 eV/atom

extended XYZ file:
```
4
Lattice="-1.990 2.480 -0.974 -3.149 -1.278 3.180 4.710 2.427 2.232" Properties=species:S:1:pos:R:3 pbc="T T T"
Ru -0.472 0.921 3.309
Sc -0.574 3.424 4.211
Sc 0.077 2.757 1.183
Tl -2.458 0.758 1.276
```

Entry 15:
VASP calculation (SCAN) on a PBEsol-optimized structure of ScVRu2.

Computed properties:
E_tot: -0.952 hartree per atom
total magnetization: 0.000 μB/cell
ΔH_f (0 K): -0.5724 eV/atom

extended XYZ file:
```
4
Lattice="4.321 0.000 0.000 2.160 3.742 0.000 2.160 1.247 3.528" Properties=species:S:1:pos:R:3 pbc="T T T"
Sc 0.000 0.000 0.000
Ru 2.160 1.247 0.882
Ru 6.481 3.742 2.646
V 4.321 2.495 1.764
```

Entry 16:
VASP calculation (SCAN) on a PBEsol-optimized structure of ScRu3W.

Computed properties:
E_tot: -1.351 hartree per atom
total magnetization: 0.001 μB/cell
ΔH_f (0 K): 0.9232 eV/atom

extended XYZ file:
```
5
Lattice="4.599 0.000 0.000 0.000 4.599 0.000 0.000 0.000 4.599" Properties=species:S:1:pos:R:3 pbc="T T T"
Sc 2.299 2.299 2.299
Ru 0.000 2.299 0.000
Ru 0.000 0.000 2.299
Ru 2.299 0.000 0.000
W 0.000 0.000 0.000
```

Entry 17:
VASP calculation (SCAN) on a PBEsol-optimized structure of Sc2RuW.

Computed properties:
E_tot: -1.217 hartree per atom
total magnetization: 0.000 μB/cell
ΔH_f (0 K): 0.1387 eV/atom

extended XYZ file:
```
4
Lattice="-1.786 1.555 1.777 -3.419 -2.040 -1.653 0.443 -3.790 3.762" Properties=species:S:1:pos:R:3 pbc="T T T"
Ru -2.282 -2.987 2.786
Sc 0.439 -3.762 3.734
Sc -2.487 -1.236 1.048
W 0.231 -1.975 1.961
```

Entry 18:
VASP calculation (SCAN) on a PBEsol-optimized structure of ScRu2W.

Computed properties:
E_tot: -1.423 hartree per atom
total magnetization: 0.000 μB/cell
ΔH_f (0 K): -0.3177 eV/atom

extended XYZ file:
```
4
Lattice="3.041 0.000 0.000 0.000 4.451 0.000 0.000 0.000 4.451" Properties=species:S:1:pos:R:3 pbc="T T T"
Sc 1.521 2.226 2.226
Ru 0.000 0.000 2.226
Ru 0.000 2.226 0.000
W 1.521 0.000 0.000
```

Entry 19:
VASP calculation (SCAN) on a PBEsol-optimized structure of ScRuW.

Computed properties:
E_tot: -1.437 hartree per atom
total magnetization: 0.000 μB/cell
ΔH_f (0 K): 0.4717 eV/atom

extended XYZ file:
```
3
Lattice="4.266 0.000 0.000 2.133 3.695 0.000 2.133 1.232 3.484" Properties=species:S:1:pos:R:3 pbc="T T T"
Ru 0.000 0.000 0.000
Sc 4.266 2.463 1.742
W 2.133 1.232 0.871
```

Entry 20:
VASP calculation (SCAN) on a PBEsol-optimized structure of ScRu2W.

Computed properties:
E_tot: -1.413 hartree per atom
total magnetization: 0.000 μB/cell
ΔH_f (0 K): -0.0562 eV/atom

extended XYZ file:
```
4
Lattice="-0.589 2.721 -0.411 -2.305 -0.994 -3.279 -4.039 -1.521 3.300" Properties=species:S:1:pos:R:3 pbc="T T T"
Ru -3.432 1.075 2.087
Ru -1.196 0.126 0.803
Sc -1.447 0.864 -1.845
W -3.172 -1.258 0.011
```